TmZnCuTe3: relaxed, PBE.

a b c (Å): 7.2783 7.2783 11.0316
angles (deg): 90.00 90.00 148.28
Last column: nearest neighbours and their distance in Å.
Positions (direct):
Cu 0.0226 0.9774 0.2500  4 Te 2.63-2.66
Cu 0.9774 0.0226 0.7500  4 Te 2.63-2.66
Te 0.1505 0.8495 0.0759  1 Cu 2.63
Te 0.3965 0.6035 0.2500  2 Cu 2.66
Te 0.1505 0.8495 0.4241  1 Cu 2.63
Te 0.8495 0.1505 0.5759  1 Cu 2.63
Te 0.6035 0.3965 0.7500  2 Cu 2.66
Te 0.8495 0.1505 0.9241  1 Cu 2.63
Tm 0.5000 0.5000 0.0000  6 Te 3.02-3.12
Tm 0.5000 0.5000 0.5000  6 Te 3.02-3.12
Zn 0.7288 0.2712 0.2500  6 Te 2.97-3.08
Zn 0.2712 0.7288 0.7500  6 Te 2.97-3.08

Properties
Total DFT energy (no corrections), eV per atom: -3.6763